This record from Alexandria describes crystalline K3Cl at its relaxed geometry. The functional is GGA-PBEsol.

## Properties
As for the space group: P-6m2 (187). As for the energy above the most stable polymorph in this dataset: 14.4 meV/atom. The volume comes out at 49.14 Å³ per atom.

Cell lengths 4.399, 4.399, 11.728 Å; angles 90.00, 90.00, 120.00 degrees
Atoms (fractional coordinates):
K  0.000  0.000  0.500
K  0.333  0.667  0.837
K  0.333  0.667  0.163
Cl  0.000  0.000  0.000


This record from Alexandria describes crystalline K3Cl at its relaxed geometry. The functional is GGA-PBEsol.

## Properties
As for the space group: Pmmn (59). As for the energy above the most stable polymorph in this dataset: 51.0 meV/atom. The volume comes out at 51.66 Å³ per atom.

Cell lengths 4.119, 8.526, 11.767 Å; angles 90.00, 90.00, 90.00 degrees
Atoms (fractional coordinates):
Cl  0.000  0.000  0.721
Cl  0.500  0.500  0.279
K  0.500  0.000  0.516
K  0.000  0.500  0.484
K  0.000  0.743  0.181
K  0.000  0.257  0.181
K  0.500  0.243  0.819
K  0.500  0.757  0.819


This record from Alexandria describes crystalline K3Cl at its relaxed geometry. The functional is GGA-PBEsol.

## Properties
As for the space group: Pm-3n (223). As for the energy above the most stable polymorph in this dataset: 388.1 meV/atom. The volume comes out at 48.39 Å³ per atom.

Cell lengths 7.288, 7.288, 7.288 Å; angles 90.00, 90.00, 90.00 degrees
Atoms (fractional coordinates):
Cl  0.000  0.000  0.000
Cl  0.500  0.500  0.500
K  0.750  0.500  0.000
K  0.250  0.500  0.000
K  0.000  0.750  0.500
K  0.000  0.250  0.500
K  0.500  0.000  0.250
K  0.500  0.000  0.750


This record from Alexandria describes crystalline KCl2 at its relaxed geometry. The functional is GGA-PBEsol.

## Properties
As for the space group: C2/m (12). The volume comes out at 33.24 Å³ per atom.

Cell lengths 4.162, 5.798, 8.923 Å; angles 96.64, 90.00, 111.04 degrees
Atoms (fractional coordinates):
K  0.587  0.174  0.845
K  0.413  0.826  0.155
Cl  0.133  0.266  0.127
Cl  0.959  0.919  0.604
Cl  0.041  0.081  0.396
Cl  0.867  0.734  0.873


Number 1: DFT total energy -2.2547 eV per atom, uncorrected formation energy -0.903 eV/atom, magnetic moment 0.0 μB/f.u.. Number 2: DFT total energy -2.2182 eV per atom, uncorrected formation energy -0.866 eV/atom, magnetic moment 0.0 μB/f.u.. Number 3: DFT total energy -1.8810 eV per atom, uncorrected formation energy -0.529 eV/atom, magnetic moment 0.0 μB/f.u.. Number 4: DFT total energy -2.9774 eV per atom, uncorrected formation energy -1.261 eV/atom, magnetic moment 0.0 μB/f.u..